1.
First-principles (SCAN) data for a crystal of K2TlAu relaxed with PBEsol, as listed in Alexandria.

- DOS at the Fermi energy (states/eV/cell) = 3.8
- energy of formation from the pure elements (eV per atom) = -0.260

a b c (Å): 4.2272 5.7430 11.0100
angles (deg): 90.00 90.00 90.00
With the nearest neighbours (Å) after each atom.
Space group Imm2 (No. 44)
Unique sites:
K: 0.0000 0.0000 0.0000 (multiplicity 2)  4 K 3.60-3.95, 4 Au 3.62, 4 Tl 3.73-3.77
K: 0.0000 0.5000 0.1966 (multiplicity 2)  2 Au 3.49, 2 K 3.60, 4 Tl 3.69
Tl: 0.0000 0.5000 0.7833 (multiplicity 2)  2 Au 2.76
Au: 0.0000 0.0000 0.4448 (multiplicity 2)  2 Tl 2.76

2.
First-principles (SCAN) data for a crystal of AlTlPt2 relaxed with PBEsol, as listed in Alexandria.

- DOS at the Fermi energy (states/eV/cell) = 1.2
- energy of formation from the pure elements (eV per atom) = -0.489

a b c (Å): 2.8784 4.1308 6.1401
angles (deg): 90.00 90.00 90.00
With the nearest neighbours (Å) after each atom.
Space group Pmm2 (No. 25)
Unique sites:
Al: 0.0000 0.0000 0.0000 (multiplicity 1)  6 Pt 2.50-2.53
Tl: 0.0000 0.5000 0.4570 (multiplicity 1)  6 Pt 2.83-2.91, 2 Tl 2.88
Pt: 0.5000 0.0000 0.6667 (multiplicity 1)  2 Al 2.50
Pt: 0.5000 0.5000 0.0449 (multiplicity 1)  4 Al 2.53

3.
First-principles (SCAN) data for a crystal of IrSe5 relaxed with PBEsol, as listed in Alexandria.

- formation energy from raw total energies (eV/atom) = 0.96
- DOS at the Fermi energy (states/eV/cell) = 4.1

a b c (Å): 4.8640 4.8640 7.0896
angles (deg): 90.00 90.00 120.00
With the nearest neighbours (Å) after each atom.
Space group P6/mmm (No. 191)
Unique sites:
Ir: 0.0000 0.0000 0.0000 (multiplicity 1)  6 Se 2.81
Se: 0.0000 0.5000 0.5000 (multiplicity 3)  4 Se 2.43
Se: 0.3333 0.6667 0.0000 (multiplicity 2)  3 Ir 2.81, 3 Se 2.81

4.
First-principles (SCAN) data for a crystal of YCuAs relaxed with PBEsol, as listed in Alexandria.

- DOS at the Fermi energy (states/eV/cell) = 5.5
- energy of formation from the pure elements (eV per atom) = -0.544

a b c (Å): 6.2514 6.2514 6.2514
angles (deg): 90.00 90.00 90.00
With the nearest neighbours (Å) after each atom.
Space group F-43m (No. 216)
Unique sites:
Y: 0.0000 0.0000 0.0000 (multiplicity 4)  4 As 2.71
Cu: 0.0000 0.0000 0.5000 (multiplicity 4)  4 As 2.71
As: 0.2500 0.2500 0.2500 (multiplicity 4)  4 Cu 2.71, 4 Y 2.71